Record 1
Computed, not measured: a relaxed structure of Zn2Cu6Rh at the PBE-GGA level of DFT.

The structure in extended XYZ format:
```
18
Lattice="4.785 -4.355 0.000 4.785 4.355 0.000 -3.897 0.000 5.541" Properties=species:S:1:pos:R:3 pbc="T T T"
Zn -0.063 1.067 2.347
Zn -2.011 -1.067 5.118
Zn 7.685 1.067 0.424
Zn 5.737 -1.067 3.194
Cu 4.120 3.226 0.147
Cu -0.689 1.014 4.813
Cu 3.502 3.226 2.624
Cu 2.519 1.174 1.642
Cu 1.260 -1.014 2.042
Cu 5.103 1.174 1.129
Cu 0.570 -1.174 4.412
Cu 4.414 1.014 3.499
Cu 3.155 -1.174 3.900
Cu 2.171 -3.226 2.917
Cu 6.362 -1.014 0.728
Cu 1.554 -3.226 5.394
Rh 1.863 1.063 4.156
Rh 3.811 -1.063 1.385
```

Output
Energy relative to the lowest polymorph listed for this composition   10 kJ/mol of formula units
E_form   -32 meV/atom
Total moment   0.00 μB/atom
Energy   -3.863 eV per atom

Record 2
Computed, not measured: a relaxed structure of SmDyPt at the PBE-GGA level of DFT.

The structure in extended XYZ format:
```
24
Lattice="6.903 0.000 0.000 0.000 13.433 0.000 0.000 0.000 7.173" Properties=species:S:1:pos:R:3 pbc="T T T"
Sm 1.320 2.682 0.775
Sm 1.320 4.034 4.361
Sm 2.132 9.399 0.775
Sm 2.132 10.751 4.361
Sm 4.771 2.682 2.812
Sm 4.771 4.034 6.398
Sm 5.583 9.399 2.812
Sm 5.583 10.751 6.398
Dy 0.021 7.131 5.459
Dy 0.021 13.018 1.873
Dy 3.430 0.415 5.459
Dy 3.430 6.302 1.873
Dy 3.472 7.131 5.300
Dy 3.472 13.018 1.714
Dy 6.882 0.415 5.300
Dy 6.882 6.302 1.714
Pt 1.554 8.108 3.290
Pt 1.554 12.042 6.876
Pt 1.898 1.391 3.290
Pt 1.898 5.325 6.876
Pt 5.005 8.108 0.297
Pt 5.005 12.042 3.883
Pt 5.349 1.391 0.297
Pt 5.349 5.325 3.883
```

Output
Energy relative to the lowest polymorph listed for this composition   0 kJ/mol of formula units
E_form   -889 meV/atom
Total moment   0.00 μB/atom
Energy   -6.010 eV per atom

Record 3
Computed, not measured: a relaxed structure of NaAuSe2Br at the PBE-GGA level of DFT.

The structure in extended XYZ format:
```
5
Lattice="5.376 0.000 0.000 0.000 5.376 0.000 0.000 0.000 5.211" Properties=species:S:1:pos:R:3 pbc="T T T"
Na 0.000 0.000 0.000
Au 2.688 2.688 2.605
Se 0.000 2.688 0.000
Se 2.688 0.000 0.000
Br 0.000 0.000 2.605
```

Output
Energy relative to the lowest polymorph listed for this composition   354 kJ/mol of formula units
Total moment   0.61 μB/atom
Energy   -1.999 eV per atom
Uncorrected formation energy   649 meV per atom

Record 4
Computed, not measured: a relaxed structure of KSnI2O at the PBE-GGA level of DFT.

The structure in extended XYZ format:
```
5
Lattice="6.271 0.000 0.000 0.000 6.271 0.000 0.000 0.000 4.352" Properties=species:S:1:pos:R:3 pbc="T T T"
K 0.000 0.000 0.000
Sn 3.135 3.135 2.176
I 0.000 3.135 0.000
I 3.135 0.000 0.000
O 0.000 0.000 2.176
```

Output
Energy relative to the lowest polymorph listed for this composition   511 kJ/mol of formula units
Total moment   0.00 μB/atom
Energy   -2.518 eV per atom
Uncorrected formation energy   114 meV per atom

Record 5
Computed, not measured: a relaxed structure of CrB at the PBE-GGA level of DFT.

The structure in extended XYZ format:
```
4
Lattice="-1.392 2.008 3.233 1.392 -2.008 3.233 1.392 2.008 -3.233" Properties=species:S:1:pos:R:3 pbc="T T T"
Cr 0.000 0.000 1.255
Cr 0.000 0.000 5.211
B 1.392 1.094 0.000
B 0.000 0.914 3.233
```

Output
E_form   -158 meV/atom
Total moment   0.00 μB/atom
Energy   -8.308 eV per atom

Record 6
Computed, not measured: a relaxed structure of HoTiS2 at the PBE-GGA level of DFT.

The structure in extended XYZ format:
```
4
Lattice="1.815 1.048 6.369 -1.815 1.048 6.369 0.000 -2.095 6.369" Properties=species:S:1:pos:R:3 pbc="T T T"
Ho 0.000 0.000 0.000
Ti 0.000 0.000 3.388
S 0.000 0.000 11.042
S 0.000 0.000 14.574
```

Output
Energy relative to the lowest polymorph listed for this composition   3 kJ/mol of formula units
Total moment   0.13 μB/atom
Energy   -6.741 eV per atom
Uncorrected formation energy   -1559 meV per atom